DFT (GGA-PBEsol) results for a relaxed Si2Os crystal.

Values from the calculation:
Magnetization, μB per atom: 0.00
Calculated density, g cm⁻³: 10.66
E_tot, eV/atom: -7.218
ΔE_f (raw), eV/atom: 0.69
Symmetry: Fd-3m (227)

a = 4.7703 Å, b = 4.7703 Å, c = 4.7703 Å
α = 60.00°, β = 60.00°, γ = 60.00°
Atoms (fractional coordinates):
1 Si 0.0000 0.0000 0.0000
2 Si 0.0000 0.0000 0.5000
3 Si 0.0000 0.5000 0.0000
4 Si 0.5000 0.0000 0.0000
5 Os 0.3750 0.3750 0.3750
6 Os 0.6250 0.6250 0.6250